Record 1
First-principles (PBE) data for a geometry-optimized AgHg2Cl structure, as listed in the Alexandria database.

```
data_AgHg2Cl
_chemical_formula_sum 'Ag1 Hg2 Cl1'
_space_group_name_H-M_alt 'P 1'
_space_group_IT_number 1
_cell_length_a 3.456
_cell_length_b 3.456
_cell_length_c 8.457
_cell_angle_alpha 90.00
_cell_angle_beta 90.00
_cell_angle_gamma 90.00
loop_
_space_group_symop_operation_xyz
'x,y,z'
loop_
_atom_site_label
_atom_site_type_symbol
_atom_site_fract_x
_atom_site_fract_y
_atom_site_fract_z
Ag1 Ag 0.000 0.000 0.000
Hg1 Hg 0.000 0.000 0.472
Hg2 Hg 0.500 0.500 0.760
Cl1 Cl 0.500 0.500 0.158
```

Properties
Formation energy without anion corrections, eV per formula unit: -0.53
Theoretical density, g/cm3: 9.0
Relative energy among the computed polymorphs, eV/f.u.: 0.34
Space-group type: P4mm
Density of states at the Fermi level, states/eV/f.u.: 0.333
Energy, eV per cell: -5.83

Record 2
First-principles (PBE) data for a geometry-optimized Ag3HgCl structure, as listed in the Alexandria database.

```
data_Ag3HgCl
_chemical_formula_sum 'Ag3 Hg1 Cl1'
_space_group_name_H-M_alt 'P 1'
_space_group_IT_number 1
_cell_length_a 5.308
_cell_length_b 5.308
_cell_length_c 5.308
_cell_angle_alpha 90.00
_cell_angle_beta 90.00
_cell_angle_gamma 90.00
loop_
_space_group_symop_operation_xyz
'x,y,z'
loop_
_atom_site_label
_atom_site_type_symbol
_atom_site_fract_x
_atom_site_fract_y
_atom_site_fract_z
Ag1 Ag 0.000 0.000 0.500
Ag2 Ag 0.000 0.500 0.000
Ag3 Ag 0.500 0.000 0.000
Hg1 Hg 0.000 0.000 0.000
Cl1 Cl 0.500 0.500 0.500
```

Properties
Formation energy without anion corrections, eV per formula unit: 2.68
Theoretical density, g/cm3: 6.2
Relative energy among the computed polymorphs, eV/f.u.: 0.56
Space-group type: Pm-3m
Density of states at the Fermi level, states/eV/f.u.: 2.633
Energy, eV per cell: -8.02

Record 3
First-principles (PBE) data for a geometry-optimized AgHgCl2 structure, as listed in the Alexandria database.

```
data_AgHgCl2
_chemical_formula_sum 'Ag3 Hg3 Cl6'
_space_group_name_H-M_alt 'P 1'
_space_group_IT_number 1
_cell_length_a 4.563
_cell_length_b 4.563
_cell_length_c 23.131
_cell_angle_alpha 90.00
_cell_angle_beta 90.00
_cell_angle_gamma 120.00
loop_
_space_group_symop_operation_xyz
'x,y,z'
loop_
_atom_site_label
_atom_site_type_symbol
_atom_site_fract_x
_atom_site_fract_y
_atom_site_fract_z
Ag1 Ag 0.000 0.000 0.000
Ag2 Ag 0.333 0.667 0.667
Ag3 Ag 0.667 0.333 0.333
Hg1 Hg 0.000 0.000 0.500
Hg2 Hg 0.333 0.667 0.167
Hg3 Hg 0.667 0.333 0.833
Cl1 Cl 0.000 0.000 0.102
Cl2 Cl 0.000 0.000 0.898
Cl3 Cl 0.333 0.667 0.565
Cl4 Cl 0.333 0.667 0.768
Cl5 Cl 0.667 0.333 0.232
Cl6 Cl 0.667 0.333 0.435
```

Properties
Formation energy without anion corrections, eV per formula unit: -0.97
Theoretical density, g/cm3: 4.5
Relative energy among the computed polymorphs, eV/f.u.: 0.39
Space-group type: R-3m
Density of states at the Fermi level, states/eV/f.u.: 3.116
Energy, eV per cell: -23.45

Record 4
First-principles (PBE) data for a geometry-optimized AgHg2Cl structure, as listed in the Alexandria database.

```
data_AgHg2Cl
_chemical_formula_sum 'Ag3 Hg6 Cl3'
_space_group_name_H-M_alt 'P 1'
_space_group_IT_number 1
_cell_length_a 3.721
_cell_length_b 3.721
_cell_length_c 24.605
_cell_angle_alpha 90.00
_cell_angle_beta 90.00
_cell_angle_gamma 120.00
loop_
_space_group_symop_operation_xyz
'x,y,z'
loop_
_atom_site_label
_atom_site_type_symbol
_atom_site_fract_x
_atom_site_fract_y
_atom_site_fract_z
Ag1 Ag 0.000 0.000 0.000
Ag2 Ag 0.333 0.667 0.667
Ag3 Ag 0.667 0.333 0.333
Hg1 Hg 0.000 0.000 0.413
Hg2 Hg 0.000 0.000 0.586
Hg3 Hg 0.333 0.667 0.080
Hg4 Hg 0.333 0.667 0.253
Hg5 Hg 0.667 0.333 0.746
Hg6 Hg 0.667 0.333 0.919
Cl1 Cl 0.000 0.000 0.831
Cl2 Cl 0.333 0.667 0.498
Cl3 Cl 0.667 0.333 0.165
```

Properties
Formation energy without anion corrections, eV per formula unit: -0.68
Theoretical density, g/cm3: 9.2
Relative energy among the computed polymorphs, eV/f.u.: 0.18
Space-group type: R3m
Energy, eV per cell: -17.94

Record 5
First-principles (PBE) data for a geometry-optimized AgHgCl2 structure, as listed in the Alexandria database.

```
data_AgHgCl2
_chemical_formula_sum 'Ag2 Hg2 Cl4'
_space_group_name_H-M_alt 'P 1'
_space_group_IT_number 1
_cell_length_a 6.970
_cell_length_b 4.012
_cell_length_c 7.392
_cell_angle_alpha 90.00
_cell_angle_beta 108.38
_cell_angle_gamma 90.00
loop_
_space_group_symop_operation_xyz
'x,y,z'
loop_
_atom_site_label
_atom_site_type_symbol
_atom_site_fract_x
_atom_site_fract_y
_atom_site_fract_z
Ag1 Ag 0.000 0.000 0.000
Ag2 Ag 0.500 0.500 0.000
Hg1 Hg 0.000 0.500 0.500
Hg2 Hg 0.500 0.000 0.500
Cl1 Cl 0.237 0.500 0.211
Cl2 Cl 0.263 0.000 0.789
Cl3 Cl 0.737 0.000 0.211
Cl4 Cl 0.763 0.500 0.789
```

Properties
Formation energy without anion corrections, eV per formula unit: -1.18
Theoretical density, g/cm3: 6.4
Relative energy among the computed polymorphs, eV/f.u.: 0.18
Space-group type: C2/m
Density of states at the Fermi level, states/eV/f.u.: 2.482
Energy, eV per cell: -16.04

Record 6
First-principles (PBE) data for a geometry-optimized AgHgCl2 structure, as listed in the Alexandria database.

```
data_AgHgCl2
_chemical_formula_sum 'Ag3 Hg3 Cl6'
_space_group_name_H-M_alt 'P 1'
_space_group_IT_number 1
_cell_length_a 3.967
_cell_length_b 3.967
_cell_length_c 21.723
_cell_angle_alpha 90.00
_cell_angle_beta 90.00
_cell_angle_gamma 120.00
loop_
_space_group_symop_operation_xyz
'x,y,z'
loop_
_atom_site_label
_atom_site_type_symbol
_atom_site_fract_x
_atom_site_fract_y
_atom_site_fract_z
Ag1 Ag 0.000 0.000 0.000
Ag2 Ag 0.333 0.667 0.667
Ag3 Ag 0.667 0.333 0.333
Hg1 Hg 0.000 0.000 0.832
Hg2 Hg 0.333 0.667 0.498
Hg3 Hg 0.667 0.333 0.165
Cl1 Cl 0.000 0.000 0.403
Cl2 Cl 0.000 0.000 0.596
Cl3 Cl 0.333 0.667 0.069
Cl4 Cl 0.333 0.667 0.263
Cl5 Cl 0.667 0.333 0.736
Cl6 Cl 0.667 0.333 0.930
```

Properties
Formation energy without anion corrections, eV per formula unit: -1.09
Theoretical density, g/cm3: 6.4
Relative energy among the computed polymorphs, eV/f.u.: 0.27
Space-group type: R3m
Density of states at the Fermi level, states/eV/f.u.: 3.303
Energy, eV per cell: -23.81

Copy entry 2 word for word.
First-principles (PBE) data for a geometry-optimized Ag3HgCl structure, as listed in the Alexandria database.

```
data_Ag3HgCl
_chemical_formula_sum 'Ag3 Hg1 Cl1'
_space_group_name_H-M_alt 'P 1'
_space_group_IT_number 1
_cell_length_a 5.308
_cell_length_b 5.308
_cell_length_c 5.308
_cell_angle_alpha 90.00
_cell_angle_beta 90.00
_cell_angle_gamma 90.00
loop_
_space_group_symop_operation_xyz
'x,y,z'
loop_
_atom_site_label
_atom_site_type_symbol
_atom_site_fract_x
_atom_site_fract_y
_atom_site_fract_z
Ag1 Ag 0.000 0.000 0.500
Ag2 Ag 0.000 0.500 0.000
Ag3 Ag 0.500 0.000 0.000
Hg1 Hg 0.000 0.000 0.000
Cl1 Cl 0.500 0.500 0.500
```

Properties
Formation energy without anion corrections, eV per formula unit: 2.68
Theoretical density, g/cm3: 6.2
Relative energy among the computed polymorphs, eV/f.u.: 0.56
Space-group type: Pm-3m
Density of states at the Fermi level, states/eV/f.u.: 2.633
Energy, eV per cell: -8.02

The highest relative energy among the computed polymorphs belongs to which entry?
Ag3HgCl